# 1
ZrSbS2Cl after structural relaxation. Source: Alexandria via LeMat-Bulk, functional PBE.

Computed properties:
Magnetization, μB per formula unit: 0.00
Raw formation energy, eV/atom: -0.536
V, Å³ per atom: 25.03
Crystal system: tetragonal

a b c (Å): 5.031 5.031 4.945
angles (deg): 90.00 90.00 90.00
Positions (direct):
Zr (0.000, 0.000, 0.000)
Sb (0.500, 0.500, 0.500)
S (0.000, 0.500, 0.000)
S (0.500, 0.000, 0.000)
Cl (0.000, 0.000, 0.500)

# 2
ZrSbSCl2 after structural relaxation. Source: Alexandria via LeMat-Bulk, functional PBE.

Computed properties:
Magnetization, μB per formula unit: 1.03
Raw formation energy, eV/atom: 0.205
V, Å³ per atom: 29.61
Crystal system: tetragonal

a b c (Å): 4.912 4.912 6.136
angles (deg): 90.00 90.00 90.00
Positions (direct):
Zr (0.000, 0.000, 0.000)
Sb (0.000, 0.000, 0.500)
S (0.500, 0.500, 0.000)
Cl (0.000, 0.500, 0.500)
Cl (0.500, 0.000, 0.500)

# 3
ZrSbSCl2 after structural relaxation. Source: Alexandria via LeMat-Bulk, functional PBE.

Computed properties:
Magnetization, μB per formula unit: 2.82
Raw formation energy, eV/atom: -0.592
V, Å³ per atom: 26.58
Crystal system: tetragonal

a b c (Å): 5.111 5.111 5.089
angles (deg): 90.00 90.00 90.00
Positions (direct):
Zr (0.000, 0.000, 0.000)
Sb (0.500, 0.500, 0.500)
S (0.000, 0.000, 0.500)
Cl (0.000, 0.500, 0.000)
Cl (0.500, 0.000, 0.000)

# 4
ScS5Cl after structural relaxation. Source: Alexandria via LeMat-Bulk, functional PBE.

Computed properties:
Magnetization, μB per formula unit: 0.00
Raw formation energy, eV/atom: -0.666
V, Å³ per atom: 29.14
Crystal system: triclinic

a b c (Å): 3.989 4.604 11.288
angles (deg): 86.30 80.39 89.92
Positions (direct):
Sc (0.000, 0.000, 0.000)
S (0.438, 0.122, 0.130)
S (0.468, 0.686, 0.068)
S (0.653, 0.265, 0.484)
S (0.922, 0.917, 0.550)
S (0.984, 0.613, 0.417)
Cl (0.081, 0.318, 0.830)

# 5
ScS2Cl2 after structural relaxation. Source: Alexandria via LeMat-Bulk, functional PBE.

Computed properties:
Magnetization, μB per formula unit: 0.00
Raw formation energy, eV/atom: -0.850
V, Å³ per atom: 23.51
Crystal system: tetragonal

a b c (Å): 11.092 11.092 11.092
angles (deg): 162.93 162.93 24.23
Positions (direct):
Sc (0.000, 0.000, 0.000)
S (0.250, 0.750, 0.500)
S (0.750, 0.250, 0.500)
Cl (0.430, 0.430, 0.000)
Cl (0.570, 0.570, 0.000)

# 6
Sc2SCl3 after structural relaxation. Source: Alexandria via LeMat-Bulk, functional PBE.

Computed properties:
Magnetization, μB per formula unit: 0.18
Raw formation energy, eV/atom: -1.926
V, Å³ per atom: 25.57
Crystal system: monoclinic

a b c (Å): 8.503 8.503 12.762
angles (deg): 126.64 126.64 24.84
Positions (direct):
Sc (0.239, 0.239, 0.356)
Sc (0.257, 0.257, 0.876)
Sc (0.743, 0.743, 0.124)
Sc (0.761, 0.761, 0.644)
S (0.364, 0.364, 0.800)
S (0.636, 0.636, 0.200)
Cl (0.137, 0.137, 0.945)
Cl (0.142, 0.142, 0.459)
Cl (0.363, 0.363, 0.297)
Cl (0.637, 0.637, 0.703)
Cl (0.858, 0.858, 0.541)
Cl (0.863, 0.863, 0.055)